Density functional theory data (PBE) for a geometry-optimized CeZrCuRe structure.

Lattice parameters (Å, degrees): 6.7774 6.7774 6.7774 90.00 90.00 90.00
Space group F-43m (No. 216)
Inequivalent atoms, fractional coordinates:
Ce: 0.0000 0.0000 0.0000 x4
Zr: 0.0000 0.0000 0.5000 x4
Cu: 0.2500 0.2500 0.2500 x4
Re: 0.2500 0.2500 0.7500 x4

Raw total energy, eV/atom: -7.76
Energy relative to the elements, eV/atom: -0.001
Calculated density, kg/m³: 10265